1.
Computed, not measured: Y2CrCo2 after structural relaxation at the PBE level of DFT.

Lattice parameters (Å, degrees): 6.283 6.283 4.477 90.00 90.00 90.00
Atoms (fractional coordinates):
Y1 0.180 0.320 0.000
Y2 0.320 0.820 0.000
Y3 0.680 0.180 0.000
Y4 0.820 0.680 0.000
Cr1 0.000 0.000 0.500
Cr2 0.500 0.500 0.500
Co1 0.137 0.637 0.500
Co2 0.363 0.137 0.500
Co3 0.637 0.863 0.500
Co4 0.863 0.363 0.500

**M_tot**: 0.00 μB per cell
**Energy of formation from the pure elements**: 122 meV per atom
**SG**: P4/mbm (127)
**Energy above the most stable polymorph in this dataset**: 0.0000 eV/atom
**Volume**: 176.7 Å³/cell

2.
Computed, not measured: Y2CoCl after structural relaxation at the PBE level of DFT.

Lattice parameters (Å, degrees): 4.922 4.922 4.922 60.00 60.00 60.00
Atoms (fractional coordinates):
Y1 0.250 0.250 0.250
Y2 0.750 0.750 0.750
Co1 0.000 0.000 0.000
Cl1 0.500 0.500 0.500

**M_tot**: 0.00 μB per cell
**SG**: Fm-3m (225)
**Energy above the most stable polymorph in this dataset**: 0.5138 eV/atom
**Formation energy (no corrections)**: -312 meV per atom
**Volume**: 84.3 Å³/cell

3.
Computed, not measured: HfMgSi2Os after structural relaxation at the PBE level of DFT.

Lattice parameters (Å, degrees): 4.487 4.487 5.014 90.00 90.00 90.00
Atoms (fractional coordinates):
Hf1 0.000 0.000 0.000
Mg1 0.000 0.000 0.500
Si1 0.000 0.500 0.500
Si2 0.500 0.000 0.500
Os1 0.500 0.500 0.000

**M_tot**: 0.00 μB per cell
**SG**: P4/mmm (123)
**Formation energy (no corrections)**: 1760 meV per atom
**Volume**: 100.9 Å³/cell

4.
Computed, not measured: RbGaSnTe3 after structural relaxation at the PBE level of DFT.

Lattice parameters (Å, degrees): 10.052 4.580 10.879 90.00 108.63 90.00
Atoms (fractional coordinates):
Rb1 0.214 0.250 0.237
Rb2 0.786 0.750 0.763
Ga1 0.079 0.250 0.626
Ga2 0.921 0.750 0.374
Sn1 0.339 0.750 0.879
Sn2 0.661 0.250 0.121
Te1 0.100 0.250 0.868
Te2 0.187 0.750 0.548
Te3 0.466 0.750 0.163
Te4 0.534 0.250 0.837
Te5 0.813 0.250 0.452
Te6 0.900 0.750 0.132

**M_tot**: 0.00 μB per cell
**SG**: P2_1/m (11)
**Formation energy (no corrections)**: -514 meV per atom
**Volume**: 474.6 Å³/cell

5.
Computed, not measured: CeSiIrRh after structural relaxation at the PBE level of DFT.

Lattice parameters (Å, degrees): 4.302 4.919 4.919 47.57 90.00 90.00
Atoms (fractional coordinates):
Ce1 0.000 0.000 0.000
Si1 0.500 0.606 0.606
Ir1 0.000 0.725 0.725
Rh1 0.500 0.262 0.262

**M_tot**: 0.19 μB per cell
**SG**: Amm2 (38)
**Formation energy (no corrections)**: -632 meV per atom
**Volume**: 76.8 Å³/cell

6.
Computed, not measured: Cs2TlBiP after structural relaxation at the PBE level of DFT.

Lattice parameters (Å, degrees): 7.437 7.437 5.672 90.00 90.00 90.00
Atoms (fractional coordinates):
Cs1 0.000 0.500 0.000
Cs2 0.500 0.000 0.000
Tl1 0.000 0.000 0.000
Bi1 0.000 0.000 0.500
P1 0.500 0.500 0.500

**M_tot**: 2.24 μB per cell
**Energy of formation from the pure elements**: 406 meV per atom
**SG**: P4/mmm (123)
**Volume**: 313.7 Å³/cell